This record from the Alexandria database describes an optimized crystal structure of Nd13Dy2. The functional is PBE.

a = 6.799 Å, b = 9.179 Å, c = 9.182 Å
α = 113.56°, β = 82.34°, γ = 97.74°
Fractional positions:
Nd 0.702 0.628 0.027
Nd 0.298 0.372 0.973
Nd 0.000 0.000 0.000
Nd 0.305 0.038 0.638
Nd 0.695 0.962 0.362
Nd 0.102 0.564 0.766
Nd 0.898 0.436 0.234
Nd 0.397 0.602 0.405
Nd 0.603 0.398 0.595
Nd 0.499 0.831 0.835
Nd 0.501 0.169 0.165
Nd 0.806 0.194 0.792
Nd 0.194 0.806 0.208
Dy 0.901 0.768 0.569
Dy 0.099 0.232 0.431

Output
Space group: No. 2
E above lowest polymorph: 0.0 meV per atom

This record from the Alexandria database describes an optimized crystal structure of Cs3Cd3Bi8. The functional is PBE.

a = 5.494 Å, b = 10.218 Å, c = 10.412 Å
α = 72.79°, β = 74.70°, γ = 74.40°
Fractional positions:
Cs 0.317 0.693 0.674
Cs 0.683 0.307 0.326
Cs 0.000 0.000 0.000
Cd 0.000 0.500 0.500
Cd 0.676 0.715 0.932
Cd 0.324 0.285 0.068
Bi 0.123 0.157 0.596
Bi 0.877 0.843 0.404
Bi 0.847 0.410 0.896
Bi 0.153 0.590 0.104
Bi 0.528 0.704 0.241
Bi 0.472 0.296 0.759
Bi 0.331 0.017 0.321
Bi 0.669 0.983 0.679

Output
Space group: No. 12

This record from the Alexandria database describes an optimized crystal structure of ErTmPt. The functional is PBE.

a = 6.732 Å, b = 6.611 Å, c = 7.085 Å
α = 90.00°, β = 90.00°, γ = 96.80°
Fractional positions:
Pt 0.702 0.789 0.454
Pt 0.202 0.789 0.046
Pt 0.798 0.211 0.954
Pt 0.298 0.211 0.546
Er 0.774 0.599 0.109
Er 0.274 0.599 0.391
Er 0.726 0.401 0.609
Er 0.226 0.401 0.891
Tm 0.997 0.933 0.739
Tm 0.497 0.933 0.761
Tm 0.503 0.067 0.239
Tm 0.003 0.067 0.261

Output
Space group: No. 14
E above lowest polymorph: 0.0 meV per atom

This record from the Alexandria database describes an optimized crystal structure of LiGaB2Os. The functional is PBE.

a = 3.719 Å, b = 3.719 Å, c = 4.032 Å
α = 90.00°, β = 90.00°, γ = 90.00°
Fractional positions:
B 0.000 0.500 0.000
B 0.500 0.000 0.000
Os 0.500 0.500 0.500
Ga 0.000 0.000 0.500
Li 0.000 0.000 0.000

Output
Space group: No. 123

Calculated magnetization, 0.00, 0.00, 0.00, 0.00 Bohr magnetons per cell (same order as the records).
Calculated calculated formation energy, 0.055, -0.132, -0.948, 1.770 eV/atom (same order as the records).